Entry 1:
DFT (PBE) results for crystalline CaScIn at its relaxed geometry.

Results
- Energy of formation from the pure elements: -0.321 eV per atom
- Polymorph energy (0 for the lowest one): 3.3 meV/atom
- Uncorrected energy: -4.01 eV/atom

Cell lengths 5.211, 5.211, 6.818 Å; angles 90.00, 90.00, 120.00 degrees
Fractional positions:
Sc 0.333 0.667 0.750
Sc 0.667 0.333 0.250
Ca 0.000 0.000 0.000
Ca 0.000 0.000 0.500
In 0.333 0.667 0.250
In 0.667 0.333 0.750

Entry 2:
DFT (PBE) results for crystalline CaSc2In at its relaxed geometry.

Results
- Energy of formation from the pure elements: -0.067 eV per atom
- Uncorrected energy: -4.42 eV/atom

Cell lengths 5.057, 3.416, 6.456 Å; angles 75.72, 90.00, 90.00 degrees
Fractional positions:
Sc 0.000 0.935 0.968
Sc 0.000 0.565 0.532
Ca 0.500 0.250 0.250
In 0.500 0.750 0.750

Entry 3:
DFT (PBE) results for crystalline CaSc2In3 at its relaxed geometry.

Results
- Energy of formation from the pure elements: -0.421 eV per atom
- Uncorrected energy: -4.23 eV/atom

Cell lengths 3.493, 3.493, 11.957 Å; angles 90.00, 90.00, 90.00 degrees
Fractional positions:
Ca 0.500 0.500 0.500
Sc 0.500 0.500 0.841
Sc 0.500 0.500 0.159
In 0.000 0.000 0.000
In 0.000 0.000 0.685
In 0.000 0.000 0.315

Entry 4:
DFT (PBE) results for crystalline CaScIn at its relaxed geometry.

Results
- Energy of formation from the pure elements: -0.247 eV per atom
- Polymorph energy (0 for the lowest one): 77.6 meV/atom
- Uncorrected energy: -3.94 eV/atom

Cell lengths 3.592, 14.056, 3.592 Å; angles 75.19, 89.99, 75.18 degrees
Fractional positions:
Sc 0.478 0.239 0.377
Sc 0.747 0.969 0.645
Ca 0.182 0.535 0.081
Ca 0.445 0.771 0.344
In 0.116 0.101 0.015
In 0.844 0.372 0.743